A plane-wave DFT calculation with GGA-PBE was carried out for a relaxed Tm6TcTe2 crystal.

Lattice parameters (Å, degrees): 8.1885 8.1885 4.0626 90.00 90.00 120.00
Last column: nearest neighbours and their distance in Å.
Space group P-62m (No. 189)
Asymmetric unit:
Tm1 0.0000 0.2380 0.0000 [3 per cell]  2 Tc 2.82
Tm2 0.0000 0.6131 0.5000 [3 per cell]  1 Tc 3.17, 4 Te 3.25, 4 Tm 3.43
Tc1 0.0000 0.0000 0.5000 [1 per cell]  6 Tm 2.82
Te1 0.3333 0.6667 0.0000 [2 per cell]  9 Tm 3.19-3.25

Values from the calculation:
- raw formation energy (eV/atom) = -0.6577
- final energy (eV/cell) = -49.40